[1]
The following is a PBE calculation of La2CoP after structural relaxation, from the Alexandria database.

The structure belongs to space group Pm (No. 6); the cell edges are 4.120, 4.140 and 5.795 Å and the angles 90.00°, 110.80° and 90.00°. Symmetry generates all atoms from La at (0.000, 0.000, 0.000), La at (0.278, 0.500, 0.556), Co at (0.687, 0.000, 0.376) and P at (0.576, 0.500, 0.151).

The value obtained for the volume is 23.1 Å³/atom. For the energy relative to the elements, the calculation gives -0.777 eV per atom.

[2]
The following is a PBE calculation of Ac3Si2Rh after structural relaxation, from the Alexandria database.

The structure belongs to space group Pnma (No. 62); the cell edges are 12.495, 4.461 and 12.402 Å and the angles 90.00°, 90.00° and 90.00°. Symmetry generates all atoms from Ac at (0.058, 0.250, 0.126), Ac at (0.116, 0.750, 0.555), Ac at (0.213, 0.250, 0.803), Si at (0.031, 0.750, 0.317), Si at (0.199, 0.750, 0.992) and Rh at (0.131, 0.250, 0.365).

The value obtained for the volume is 28.8 Å³/atom. Its uncorrected formation energy is -0.6634 eV per atom.

[3]
The following is a PBE calculation of Bi2Pt2Br after structural relaxation, from the Alexandria database.

The structure belongs to space group I4/mmm (No. 139); the cell edges are 3.980, 3.980 and 16.465 Å and the angles 90.00°, 90.00° and 90.00°. Symmetry generates all atoms from Bi at (0.000, 0.000, 0.131), Pt at (0.000, 0.500, 0.250) and Br at (0.000, 0.000, 0.500).

The value obtained for the volume is 26.1 Å³/atom. Its uncorrected formation energy is -0.3506 eV per atom.

[4]
The following is a PBE calculation of CrMoPb2 after structural relaxation, from the Alexandria database.

The structure belongs to space group C2/m (No. 12); the cell edges are 9.248, 3.328 and 5.624 Å and the angles 90.00°, 101.87° and 90.00°. Symmetry generates all atoms from Cr at (0.000, 0.000, 0.000), Mo at (0.000, 0.500, 0.500) and Pb at (0.248, 0.000, 0.745).

The value obtained for the volume is 21.2 Å³/atom. For the energy relative to the elements, the calculation gives 0.792 eV per atom.

[5]
The following is a PBE calculation of Sc2AlGe2 after structural relaxation, from the Alexandria database.

The structure belongs to space group Immm (No. 71); the cell edges are 3.916, 5.961 and 8.062 Å and the angles 90.00°, 90.00° and 90.00°. Symmetry generates all atoms from Sc at (0.000, 0.000, 0.212), Al at (0.000, 0.500, 0.000) and Ge at (0.000, 0.285, 0.500).

The value obtained for the volume is 18.8 Å³/atom. For the energy relative to the elements, the calculation gives -0.664 eV per atom.

[6]
The following is a PBE calculation of CrCoI2Cl after structural relaxation, from the Alexandria database.

The structure belongs to space group P4/mmm (No. 123); the cell edges are 5.560, 5.560 and 4.381 Å and the angles 90.00°, 90.00° and 90.00°. Symmetry generates all atoms from Cr at (0.000, 0.000, 0.000), Co at (0.500, 0.500, 0.500), I at (0.000, 0.500, 0.500) and Cl at (0.500, 0.500, 0.000).

The value obtained for the volume is 27.1 Å³/atom. Its uncorrected formation energy is 0.2719 eV per atom.

[7]
The following is a PBE calculation of Be2HgBr after structural relaxation, from the Alexandria database.

The structure belongs to space group Pmmm (No. 47); the cell edges are 3.074, 3.320 and 6.782 Å and the angles 90.00°, 90.00° and 90.00°. Symmetry generates all atoms from Be at (0.000, 0.000, 0.211), Hg at (0.500, 0.500, 0.000) and Br at (0.500, 0.000, 0.500).

The value obtained for the volume is 17.3 Å³/atom. Its uncorrected formation energy is 0.4486 eV per atom.